The following is a PBE calculation of a geometry-optimized TlPSe2 structure, from Alexandria via LeMat-Bulk.

Unit cell a=3.7395 b=3.7395 c=8.0860 alpha=90.00 beta=90.00 gamma=90.00
Fractional positions:
Tl1 0.0000 0.0000 0.0000
P1 0.5000 0.5000 0.5226
Se1 0.0000 0.0000 0.4595
Se2 0.5000 0.5000 0.7993

Output
Space group = No. 99
Formation energy from raw total energies = -63.4 meV/atom
Energy = -3.75 eV/atom

The following is a PBE calculation of a geometry-optimized Tl2PSe structure, from Alexandria via LeMat-Bulk.

Unit cell a=4.1307 b=4.1307 c=20.3491 alpha=90.00 beta=90.00 gamma=120.00
Fractional positions:
Tl1 0.0000 0.0000 0.2420
Tl2 0.0000 0.0000 0.7580
Tl3 0.3333 0.6667 0.4246
Tl4 0.3333 0.6667 0.9087
Tl5 0.6667 0.3333 0.0913
Tl6 0.6667 0.3333 0.5754
P1 0.0000 0.0000 0.5000
P2 0.3333 0.6667 0.1667
P3 0.6667 0.3333 0.8333
Se1 0.0000 0.0000 0.0000
Se2 0.3333 0.6667 0.6667
Se3 0.6667 0.3333 0.3333

Output
Space group = No. 166
Distance to the lowest polymorph of the same formula = 0.13 eV per formula unit
Formation energy from raw total energies = 51.7 meV/atom
Energy = -3.36 eV/atom

The following is a PBE calculation of a geometry-optimized Tl2PSe structure, from Alexandria via LeMat-Bulk.

Unit cell a=3.6756 b=3.6756 c=7.7833 alpha=90.00 beta=90.00 gamma=90.00
Fractional positions:
Tl1 0.0000 0.0000 0.0000
Tl2 0.5000 0.5000 0.3119
P1 0.0000 0.0000 0.6252
Se1 0.5000 0.5000 0.7042

Output
Space group = No. 99
Distance to the lowest polymorph of the same formula = 0.48 eV per formula unit
Formation energy from raw total energies = 139.6 meV/atom
Energy = -3.27 eV/atom

The following is a PBE calculation of a geometry-optimized Tl2PSe structure, from Alexandria via LeMat-Bulk.

Unit cell a=3.9825 b=3.9825 c=6.7054 alpha=90.00 beta=90.00 gamma=90.00
Fractional positions:
Tl1 0.0000 0.0000 0.0000
Tl2 0.5000 0.5000 0.4361
P1 0.0000 0.0000 0.4047
Se1 0.5000 0.5000 0.8809

Output
Space group = No. 99
Distance to the lowest polymorph of the same formula = 0.15 eV per formula unit
Formation energy from raw total energies = 56.7 meV/atom
Energy = -3.35 eV/atom

The following is a PBE calculation of a geometry-optimized TlPSe2 structure, from Alexandria via LeMat-Bulk.

Unit cell a=3.4151 b=6.1139 c=9.7773 alpha=90.00 beta=90.00 gamma=90.00
Fractional positions:
Tl1 0.0000 0.0000 0.0000
Tl2 0.5000 0.5000 0.5000
P1 0.0000 0.0000 0.5000
P2 0.5000 0.5000 0.0000
Se1 0.0000 0.5000 0.1760
Se2 0.0000 0.5000 0.8240
Se3 0.5000 0.0000 0.3240
Se4 0.5000 0.0000 0.6760

Output
Space group = No. 71
Formation energy from raw total energies = 43.9 meV/atom
Energy = -3.64 eV/atom

The following is a PBE calculation of a geometry-optimized TlPSe2 structure, from Alexandria via LeMat-Bulk.

Unit cell a=4.1009 b=4.7651 c=6.3464 alpha=90.00 beta=108.70 gamma=90.00
Fractional positions:
Tl1 0.0000 0.0000 0.0000
P1 0.7179 0.5000 0.5217
Se1 0.4431 0.5000 0.7714
Se2 0.7252 0.0000 0.4284

Output
Space group = No. 6
Formation energy from raw total energies = -39.1 meV/atom
Energy = -3.73 eV/atom

The following is a PBE calculation of a geometry-optimized TlPSe2 structure, from Alexandria via LeMat-Bulk.

Unit cell a=6.4593 b=6.4621 c=7.2585 alpha=66.04 beta=64.40 gamma=70.68
Fractional positions:
Tl1 0.0000 0.0000 0.0000
Tl2 0.4707 0.5483 0.5481
P1 0.5522 0.6231 0.9936
P2 0.8057 0.8018 0.6839
Se1 0.0648 0.5257 0.5332
Se2 0.5002 0.3115 0.9515
Se3 0.5573 0.9615 0.4959
Se4 0.8130 0.4781 0.1698

Output
Space group = No. 1
Formation energy from raw total energies = -174.4 meV/atom
Energy = -3.86 eV/atom

The following is a PBE calculation of a geometry-optimized TlPSe2 structure, from Alexandria via LeMat-Bulk.

Unit cell a=11.7367 b=3.3854 c=5.7113 alpha=90.00 beta=112.27 gamma=90.00
Fractional positions:
Tl1 0.0000 0.0000 0.0000
Tl2 0.5000 0.5000 0.0000
P1 0.2477 0.0000 0.6010
P2 0.7477 0.5000 0.6010
Se1 0.0906 0.5000 0.5858
Se2 0.2991 0.5000 0.3466
Se3 0.5906 0.0000 0.5858
Se4 0.7991 0.0000 0.3466

Output
Space group = No. 8
Formation energy from raw total energies = 29.6 meV/atom
Energy = -3.66 eV/atom